[1]
The following is a DFT calculation (PBE) of CaNi2C after structural relaxation.

a b c (Å): 4.711 4.711 6.655
angles (deg): 69.27 69.27 90.00
Element x y z (fractional)
Ni1 0.375 0.125 0.250
Ni2 0.375 0.625 0.250
Ni3 0.375 0.625 0.750
Ni4 0.875 0.625 0.750
Ca1 0.000 0.000 0.000
Ca2 0.750 0.250 0.500
C1 0.500 0.500 0.000
C2 0.250 0.750 0.500

Values from the calculation:
The total energy comes out at -5.615 eV per atom. The energy of formation from the pure elements comes out at 0.3 eV/f.u. The value obtained for the calculated volume is 15.98 Å³/atom. The total magnetization comes out at 0.00 μB/f.u.

=====

[2]
The following is a DFT calculation (PBE) of Ca2NiC2 after structural relaxation.

a b c (Å): 6.891 6.891 3.331
angles (deg): 90.00 90.00 90.00
Element x y z (fractional)
Ni1 0.000 0.000 0.000
Ni2 0.500 0.500 0.000
Ca1 0.219 0.719 0.500
Ca2 0.719 0.781 0.500
Ca3 0.781 0.281 0.500
Ca4 0.281 0.219 0.500
C1 0.434 0.934 0.000
C2 0.934 0.566 0.000
C3 0.566 0.066 0.000
C4 0.066 0.434 0.000

Values from the calculation:
The total energy comes out at -5.505 eV per atom. The energy of formation from the pure elements comes out at 0.7 eV/f.u. The value obtained for the calculated volume is 15.82 Å³/atom. The total magnetization comes out at 0.00 μB/f.u.

=====

[3]
The following is a DFT calculation (PBE) of Ca4Ni13C4 after structural relaxation.

a b c (Å): 3.898 8.369 8.369
angles (deg): 90.60 90.00 90.00
Element x y z (fractional)
Ca1 0.000 0.306 0.694
Ca2 0.000 0.694 0.306
Ca3 0.000 0.149 0.149
Ca4 0.000 0.851 0.851
Ni1 0.500 0.500 0.500
Ni2 0.500 0.931 0.285
Ni3 0.500 0.069 0.715
Ni4 0.500 0.715 0.069
Ni5 0.500 0.285 0.931
Ni6 0.000 0.000 0.500
Ni7 0.000 0.500 0.000
Ni8 0.500 0.211 0.428
Ni9 0.500 0.789 0.572
Ni10 0.500 0.572 0.789
Ni11 0.500 0.428 0.211
Ni12 0.000 0.379 0.379
Ni13 0.000 0.621 0.621
C1 0.500 0.000 0.500
C2 0.500 0.500 0.000
C3 0.500 0.943 0.057
C4 0.500 0.057 0.943

Values from the calculation:
The total energy comes out at -5.860 eV per atom. The energy of formation from the pure elements comes out at -3.0 eV/f.u. The value obtained for the calculated volume is 13.00 Å³/atom. The total magnetization comes out at 0.00 μB/f.u.

=====

[4]
The following is a DFT calculation (PBE) of CaNi3C after structural relaxation.

a b c (Å): 4.852 5.600 5.601
angles (deg): 120.01 90.00 90.00
Element x y z (fractional)
Ca1 0.750 0.667 0.333
Ca2 0.250 0.333 0.667
Ni1 0.750 0.689 0.845
Ni2 0.250 0.845 0.689
Ni3 0.250 0.311 0.155
Ni4 0.750 0.155 0.311
Ni5 0.250 0.845 0.155
Ni6 0.750 0.155 0.845
C1 0.000 0.000 0.000
C2 0.500 0.000 0.000

Values from the calculation:
The total energy comes out at -5.573 eV per atom. The energy of formation from the pure elements comes out at 0.7 eV/f.u. The value obtained for the calculated volume is 13.18 Å³/atom. The total magnetization comes out at 0.00 μB/f.u.

=====

[5]
The following is a DFT calculation (PBE) of CaNiC3 after structural relaxation.

a b c (Å): 4.287 4.287 4.287
angles (deg): 90.00 90.00 90.00
Element x y z (fractional)
Ni1 0.500 0.500 0.500
Ca1 0.000 0.000 0.000
C1 0.000 0.500 0.000
C2 0.000 0.000 0.500
C3 0.500 0.000 0.000

Values from the calculation:
The total energy comes out at -3.461 eV per atom. The energy of formation from the pure elements comes out at 18.2 eV/f.u. The value obtained for the calculated volume is 15.76 Å³/atom. The total magnetization comes out at 0.00 μB/f.u.

=====

[6]
The following is a DFT calculation (PBE) of CaNi3C after structural relaxation.

a b c (Å): 3.949 3.949 3.949
angles (deg): 90.00 90.00 90.00
Element x y z (fractional)
Ni1 0.000 0.500 0.000
Ni2 0.000 0.000 0.500
Ni3 0.500 0.000 0.000
Ca1 0.500 0.500 0.500
C1 0.000 0.000 0.000

Values from the calculation:
The total energy comes out at -5.732 eV per atom. The energy of formation from the pure elements comes out at -0.1 eV/f.u. The value obtained for the calculated volume is 12.32 Å³/atom. The total magnetization comes out at 0.00 μB/f.u.

=====

[7]
The following is a DFT calculation (PBE) of CaNi3C after structural relaxation.

a b c (Å): 4.478 4.478 4.478
angles (deg): 90.00 90.00 90.00
Element x y z (fractional)
Ni1 0.000 0.500 0.000
Ni2 0.000 0.000 0.500
Ni3 0.500 0.000 0.000
Ca1 0.000 0.000 0.000
C1 0.500 0.500 0.500

Values from the calculation:
The total energy comes out at -2.936 eV per atom. The energy of formation from the pure elements comes out at 13.9 eV/f.u. The value obtained for the calculated volume is 17.96 Å³/atom. The total magnetization comes out at 0.00 μB/f.u.

=====

[8]
The following is a DFT calculation (PBE) of Ca2NiC4 after structural relaxation.

a b c (Å): 5.084 6.917 6.917
angles (deg): 65.53 68.44 68.44
Element x y z (fractional)
Ni1 0.250 0.000 0.000
Ni2 0.750 0.000 0.000
Ca1 0.357 0.814 0.472
Ca2 0.643 0.186 0.528
Ca3 0.857 0.472 0.814
Ca4 0.143 0.528 0.186
C1 0.130 0.202 0.538
C2 0.870 0.798 0.462
C3 0.630 0.538 0.202
C4 0.370 0.462 0.798
C5 0.084 0.087 0.744
C6 0.916 0.913 0.256
C7 0.584 0.744 0.087
C8 0.416 0.256 0.913

Values from the calculation:
The total energy comes out at -6.704 eV per atom. The energy of formation from the pure elements comes out at -0.2 eV/f.u. The value obtained for the calculated volume is 14.22 Å³/atom. The total magnetization comes out at 0.00 μB/f.u.

=====

- calculated volume of number 6 (CaNi3C)?
  12.32 Å³/atom